(1)
# LiAlReS2 | the Alexandria database | GGA-PBE | optimized geometry
data_LiAlReS2
_chemical_formula_sum 'Li1 Al1 Re1 S2'
_space_group_name_H-M_alt 'P 4/m m m'
_space_group_IT_number 123
_space_group_name_Hall '-P 4 2'
_cell_length_a 4.633
_cell_length_b 4.633
_cell_length_c 5.027
_cell_angle_alpha 90.00
_cell_angle_beta 90.00
_cell_angle_gamma 90.00
loop_
_atom_site_label
_atom_site_type_symbol
_atom_site_fract_x
_atom_site_fract_y
_atom_site_fract_z
_atom_site_occupancy
Li1 Li 0.000 0.000 0.000 1
Al1 Al 0.500 0.500 0.000 1
Re1 Re 0.500 0.500 0.500 1
S1 S 0.000 0.500 0.500 1
# Formation energy from raw total energies   0.1716 eV per atom
# Raw total energy   -25.50 eV/cell

---

(2)
# LiTaAlRe | the Alexandria database | GGA-PBE | optimized geometry
data_LiTaAlRe
_chemical_formula_sum 'Li4 Ta4 Al4 Re4'
_space_group_name_H-M_alt 'F -4 3 m'
_space_group_IT_number 216
_space_group_name_Hall 'F -4 2 3'
_cell_length_a 6.233
_cell_length_b 6.233
_cell_length_c 6.233
_cell_angle_alpha 90.00
_cell_angle_beta 90.00
_cell_angle_gamma 90.00
loop_
_atom_site_label
_atom_site_type_symbol
_atom_site_fract_x
_atom_site_fract_y
_atom_site_fract_z
_atom_site_occupancy
Li1 Li 0.000 0.000 0.000 1
Ta1 Ta 0.250 0.250 0.750 1
Al1 Al 0.250 0.250 0.250 1
Re1 Re 0.000 0.000 0.500 1
# Formation enthalpy at 0 K   -133 meV/atom
# Raw total energy   -121.95 eV/cell